Record 1
Density functional theory data (PBE) for a relaxed Nd3Y3Mg crystal.

As for the calculated density: 5.3 g/cm³. Its symmetry is P6_3/m (176).

a b c (Å): 5.7581 9.5582 9.5555
angles (deg): 120.02 90.00 90.00
Last column: nearest neighbours and their distance in Å.
Positions (direct):
Y 0.7500 0.6228 0.1036  4 Y 3.49-3.62, 3 Mg 3.52-3.68, 5 Nd 3.54-3.70
Y 0.2500 0.1036 0.4809  4 Y 3.49-3.61, 3 Mg 3.52-3.68, 5 Nd 3.54-3.70
Y 0.2500 0.3772 0.8964  4 Y 3.49-3.62, 3 Mg 3.52-3.68, 5 Nd 3.54-3.70
Y 0.2500 0.5190 0.6228  4 Y 3.50-3.62, 3 Mg 3.51-3.68, 5 Nd 3.54-3.70
Y 0.7500 0.4810 0.3772  4 Y 3.50-3.62, 3 Mg 3.51-3.68, 5 Nd 3.54-3.70
Y 0.7500 0.8964 0.5191  4 Y 3.49-3.61, 3 Mg 3.52-3.68, 5 Nd 3.54-3.70
Nd 0.7500 0.1855 0.9385  1 Mg 3.53, 5 Y 3.54-3.70, 6 Nd 3.58-3.68
Nd 0.7500 0.7532 0.8146  1 Mg 3.52, 5 Y 3.54-3.70, 6 Nd 3.58-3.68
Nd 0.2500 0.8145 0.0615  1 Mg 3.53, 5 Y 3.54-3.70, 6 Nd 3.58-3.68
Nd 0.7500 0.0615 0.2468  1 Mg 3.52, 5 Y 3.54-3.70, 6 Nd 3.58-3.68
Nd 0.2500 0.2468 0.1854  1 Mg 3.52, 5 Y 3.54-3.70, 6 Nd 3.58-3.68
Nd 0.2500 0.9385 0.7532  1 Mg 3.52, 5 Y 3.54-3.70, 6 Nd 3.58-3.68
Mg 0.7500 0.3334 0.6665  9 Y 3.51-3.68, 3 Nd 3.52-3.53
Mg 0.2500 0.6666 0.3335  9 Y 3.51-3.68, 3 Nd 3.52-3.53

---

Record 2
Density functional theory data (PBE) for a relaxed Nd2YMg crystal.

As for the calculated density: 5.2 g/cm³. Its symmetry is P4/mmm (123).

a b c (Å): 3.7491 3.7491 9.0405
angles (deg): 90.00 90.00 90.00
Last column: nearest neighbours and their distance in Å.
Positions (direct):
Y 0.5000 0.5000 0.5000  8 Nd 3.62, 4 Y 3.75
Mg 0.5000 0.5000 0.0000  8 Nd 3.36, 4 Mg 3.75
Nd 0.0000 0.0000 0.7724  4 Mg 3.36, 4 Y 3.62, 4 Nd 3.75
Nd 0.0000 0.0000 0.2276  4 Mg 3.36, 4 Y 3.62, 4 Nd 3.75

---

Record 3
Density functional theory data (PBE) for a relaxed Nd8YMg2 crystal.

As for the calculated density: 5.8 g/cm³. Its symmetry is C2/m (12).

a b c (Å): 5.8593 9.0195 9.1709
angles (deg): 60.54 76.64 61.96
Last column: nearest neighbours and their distance in Å.
Positions (direct):
Nd 0.2942 0.4118 0.0000  1 Nd 3.04, 1 Y 3.32
Nd 0.1422 0.9029 0.7717  2 Mg 3.33-3.51, 6 Nd 3.37-3.73
Nd 0.7058 0.5882 0.0000  1 Nd 3.04, 1 Y 3.32
Nd 0.8578 0.3254 0.7717  2 Mg 3.33-3.51, 6 Nd 3.37-3.73
Nd 0.8578 0.0971 0.2283  2 Mg 3.33-3.51, 6 Nd 3.37-3.73
Nd 0.5000 0.2102 0.5795  2 Mg 3.31, 1 Y 3.36, 2 Nd 3.66
Nd 0.1422 0.6746 0.2283  2 Mg 3.33-3.51, 6 Nd 3.37-3.73
Nd 0.5000 0.7898 0.4205  2 Mg 3.31, 1 Y 3.36, 2 Nd 3.66
Y 0.5000 0.0000 0.0000  4 Nd 3.32-3.36
Mg 0.0000 0.3070 0.3860  8 Nd 3.31-3.51
Mg 0.0000 0.6930 0.6140  8 Nd 3.31-3.51

---

Record 4
Density functional theory data (PBE) for a relaxed Nd10Y6Mg crystal.

As for the calculated density: 5.7 g/cm³. Its symmetry is P-31m (162).

a b c (Å): 6.9353 9.8323 9.8323
angles (deg): 120.00 90.00 90.00
Last column: nearest neighbours and their distance in Å.
Positions (direct):
Nd 0.1818 0.2660 0.2660  5 Y 3.38-3.68, 1 Mg 3.42, 2 Nd 3.63
Nd 0.5000 0.6667 0.3333  6 Y 3.37, 2 Nd 3.47
Nd 0.8182 0.2660 0.0000  5 Y 3.38-3.68, 1 Mg 3.42, 2 Nd 3.63
Nd 0.1818 0.0000 0.7340  5 Y 3.38-3.68, 1 Mg 3.42, 2 Nd 3.63
Nd 0.0000 0.3333 0.6667  8 Nd 3.47-3.86, 6 Y 3.79
Nd 0.8182 0.0000 0.2660  5 Y 3.38-3.68, 1 Mg 3.42, 2 Nd 3.63
Nd 0.8182 0.7340 0.7340  5 Y 3.38-3.68, 1 Mg 3.42, 2 Nd 3.63
Nd 0.5000 0.3333 0.6667  6 Y 3.37, 2 Nd 3.47
Nd 0.0000 0.6667 0.3333  8 Nd 3.47-3.86, 6 Y 3.79
Nd 0.1818 0.7340 0.0000  5 Y 3.38-3.68, 1 Mg 3.42, 2 Nd 3.63
Mg 0.5000 0.0000 0.0000  6 Nd 3.42
Y 0.6883 0.3710 0.3710  7 Nd 3.37-3.68, 1 Y 3.64
Y 0.6883 0.6290 0.0000  7 Nd 3.37-3.68, 1 Y 3.64
Y 0.6883 0.0000 0.6290  7 Nd 3.37-3.68, 1 Y 3.64
Y 0.3117 0.3710 0.0000  7 Nd 3.37-3.68, 1 Y 3.64
Y 0.3117 0.6290 0.6290  7 Nd 3.37-3.68, 1 Y 3.64
Y 0.3117 0.0000 0.3710  7 Nd 3.37-3.68, 1 Y 3.64

---

Record 5
Density functional theory data (PBE) for a relaxed Nd2YMg crystal.

As for the calculated density: 5.0 g/cm³. Its symmetry is R-3m (166).

a b c (Å): 3.5180 3.5180 12.7081
angles (deg): 82.04 82.04 60.00
Last column: nearest neighbours and their distance in Å.
Positions (direct):
Mg 0.0000 0.0000 0.0000  2 Nd 3.35, 6 Mg 3.52
Nd 0.9109 0.9109 0.2672  1 Mg 3.35, 6 Nd 3.52, 3 Y 3.56
Nd 0.0891 0.0891 0.7328  1 Mg 3.35, 6 Nd 3.52, 3 Y 3.56
Y 0.5000 0.5000 0.5000  6 Y 3.52, 6 Nd 3.56

---

Record 6
Density functional theory data (PBE) for a relaxed Nd4Y10Mg crystal.

As for the calculated density: 4.8 g/cm³. Its symmetry is I4/m (87).

a b c (Å): 10.4630 8.7755 8.7755
angles (deg): 69.18 53.41 53.41
Last column: nearest neighbours and their distance in Å.
Positions (direct):
Y 0.1258 0.1017 0.3215  5 Y 3.21-3.42
Y 0.2500 0.5000 0.5000  4 Y 3.21, 4 Nd 3.21
Y 0.5490 0.8983 0.6785  5 Y 3.21-3.42
Y 0.5527 0.3215 0.8983  5 Y 3.21-3.42
Y 0.7725 0.6785 0.1017  5 Y 3.21-3.42
Y 0.4473 0.6785 0.1017  5 Y 3.21-3.42
Y 0.2275 0.3215 0.8983  5 Y 3.21-3.42
Y 0.7500 0.5000 0.5000  4 Y 3.21, 4 Nd 3.21
Y 0.8742 0.8983 0.6785  5 Y 3.21-3.42
Y 0.4510 0.1017 0.3215  5 Y 3.21-3.42
Nd 0.0715 0.6013 0.2557  2 Y 3.21, 1 Mg 3.34
Nd 0.9285 0.3987 0.7443  2 Y 3.21, 1 Mg 3.34
Nd 0.6728 0.2557 0.3987  2 Y 3.21, 1 Mg 3.34
Nd 0.3272 0.7443 0.6013  2 Y 3.21, 1 Mg 3.34
Mg 0.0000 0.0000 0.0000  4 Nd 3.34

---

no.,uncorrected energy (eV per atom),size of the total moment (Bohr magnetons per cell)
1,-5.017,0.2
2,-4.432,0.0
3,-4.235,0.0
4,-5.059,0.0
5,-4.213,0.0
6,-5.328,0.0